VASP calculation (GGA-PBE) on a geometry-optimized LiZnBr structure.

The structure in POSCAR format:
```
LiZnBr
1.0
4.240 0.000 0.000
-2.120 3.674 0.000
0.000 0.000 13.258
Zn Li Br
2 2 2
Cartesian
2.120 0.502 0.000
2.120 0.321 6.629
2.120 0.406 3.313
2.120 0.406 9.946
0.000 1.632 9.945
0.000 1.632 3.313
```

Results
The polymorph energy (0 for the lowest one) is 0 meV per atom. The magnetization comes out at 0.00 μB/atom. As for the crystal system: orthorhombic.